1.
Material: Na3Sb3Au2
Method: DFT, PBE
State: optimized geometry

## Properties
Its excess energy over the best structure of this formula in the dataset is 0.036 eV/atom. As for the formation energy from raw total energies: -0.305 eV/atom. As for the space group: Pnma (62).

abc: 5.9716 8.0550 17.4314
angles: 90.00 90.00 90.00
Fractional positions:
Sb 0.8699 0.8403 0.7500
Na 0.6031 0.0388 0.8814
Au 0.4048 0.4153 0.6207
Sb 0.8578 0.8036 0.0285
Sb 0.8578 0.8036 0.4715
Na 0.1031 0.4612 0.3814
Au 0.9048 0.0847 0.1207
Au 0.5952 0.5847 0.3793
Na 0.3969 0.9612 0.1186
Na 0.3703 0.6970 0.7500
Au 0.0952 0.9153 0.8793
Na 0.8969 0.5388 0.6186
Au 0.4048 0.4153 0.8793
Sb 0.6422 0.3036 0.0285
Au 0.0952 0.9153 0.6207
Sb 0.3578 0.6964 0.9715
Sb 0.3699 0.6597 0.2500
Sb 0.3578 0.6964 0.5285
Sb 0.6301 0.3403 0.7500
Au 0.5952 0.5847 0.1207
Sb 0.6422 0.3036 0.4715
Sb 0.1301 0.1597 0.2500
Na 0.8703 0.8030 0.2500
Na 0.1297 0.1970 0.7500
Na 0.3969 0.9612 0.3814
Na 0.6297 0.3030 0.2500
Au 0.9048 0.0847 0.3793
Na 0.8969 0.5388 0.8814
Sb 0.1422 0.1964 0.9715
Na 0.1031 0.4612 0.1186
Na 0.6031 0.0388 0.6186
Sb 0.1422 0.1964 0.5285

2.
Material: Na8Sb2Au
Method: DFT, PBE
State: optimized geometry

## Properties
Its excess energy over the best structure of this formula in the dataset is 0.000 eV/atom. As for the formation energy from raw total energies: -0.344 eV/atom. As for the space group: Immm (71).

abc: 5.3587 7.3265 9.0532
angles: 113.88 107.21 90.00
Fractional positions:
Sb 0.8225 0.3225 0.6449
Na 0.0000 0.7351 0.0000
Na 0.3497 0.1137 0.6993
Na 0.6503 0.8863 0.3007
Sb 0.1775 0.6775 0.3551
Na 0.8207 0.8211 0.6414
Au 0.5000 0.0000 0.0000
Na 0.1793 0.1789 0.3586
Na 0.0000 0.2649 0.0000
Na 0.3495 0.5861 0.6990
Na 0.6505 0.4139 0.3010

3.
Material: Na2Sb5Au4
Method: DFT, PBE
State: optimized geometry

## Properties
As for the formation energy from raw total energies: -0.112 eV/atom. As for the space group: C2/m (12).

abc: 6.6214 6.5565 8.4704
angles: 71.51 66.99 59.67
Fractional positions:
Au 0.2822 0.1268 0.3089
Au 0.7178 0.8732 0.6911
Au 0.2642 0.4774 0.9942
Sb 0.2211 0.1963 0.8336
Au 0.7358 0.5226 0.0058
Na 0.3042 0.7620 0.6297
Sb 0.2509 0.8037 0.1664
Sb 0.7789 0.8037 0.1664
Sb 0.0000 0.5000 0.5000
Na 0.6958 0.2380 0.3703
Sb 0.7491 0.1963 0.8336

4.
Material: Na3Sb4Au4
Method: DFT, PBE
State: optimized geometry

## Properties
Its excess energy over the best structure of this formula in the dataset is 0.044 eV/atom. As for the formation energy from raw total energies: -0.233 eV/atom. As for the space group: Immm (71).

abc: 4.9227 4.3720 14.0155
angles: 98.97 100.11 90.00
Fractional positions:
Au 0.4473 0.4473 0.8947
Sb 0.9103 0.4103 0.8205
Na 0.0000 0.0000 0.0000
Sb 0.7447 0.7446 0.4893
Na 0.6404 0.1404 0.2808
Au 0.5527 0.5527 0.1053
Au 0.1875 0.6875 0.3751
Na 0.3596 0.8596 0.7192
Sb 0.0897 0.5897 0.1795
Au 0.8125 0.3125 0.6249
Sb 0.2553 0.2554 0.5107

5.
Material: Na5Sb2Au
Method: DFT, PBE
State: optimized geometry

## Properties
As for the formation energy from raw total energies: -0.432 eV/atom. As for the space group: P6_3/mmc (194).

abc: 5.3680 5.3680 19.1622
angles: 90.00 90.00 120.00
Fractional positions:
Na 0.3333 0.6667 0.7500
Na 0.3333 0.6667 0.9455
Na 0.0000 0.0000 0.8580
Na 0.6667 0.3333 0.2500
Au 0.6667 0.3333 0.7500
Na 0.3333 0.6667 0.5545
Na 0.0000 0.0000 0.1420
Sb 0.3333 0.6667 0.1121
Na 0.6667 0.3333 0.4455
Sb 0.6667 0.3333 0.6121
Na 0.0000 0.0000 0.6420
Na 0.6667 0.3333 0.0545
Au 0.3333 0.6667 0.2500
Na 0.0000 0.0000 0.3580
Sb 0.3333 0.6667 0.3879
Sb 0.6667 0.3333 0.8879

6.
Material: NaSb2Au
Method: DFT, PBE
State: optimized geometry

## Properties
Its excess energy over the best structure of this formula in the dataset is 0.000 eV/atom. As for the formation energy from raw total energies: -0.213 eV/atom. As for the space group: P2/m (10).

abc: 4.6458 4.1213 9.3584
angles: 90.00 140.07 90.00
Fractional positions:
Sb 0.5963 0.0000 0.1880
Sb 0.4037 0.0000 0.8120
Na 0.5000 0.5000 0.5000
Au 0.0000 0.5000 0.0000

7.
Material: NaSb2Au
Method: DFT, PBE
State: optimized geometry

## Properties
Its excess energy over the best structure of this formula in the dataset is 0.050 eV/atom. As for the formation energy from raw total energies: -0.163 eV/atom. As for the space group: I-42d (122).

abc: 8.6836 8.6836 6.7908
angles: 50.26 50.26 90.00
Fractional positions:
Sb 0.6965 0.1250 0.2500
Sb 0.8750 0.9465 0.7500
Sb 0.0535 0.6250 0.2500
Na 0.2500 0.7500 0.5000
Au 0.7500 0.2500 0.5000
Sb 0.3750 0.3035 0.7500
Au 0.0000 0.0000 0.0000
Na 0.5000 0.5000 0.0000

8.
Material: Na4SbAu
Method: DFT, PBE
State: optimized geometry

## Properties
As for the formation energy from raw total energies: -0.377 eV/atom. As for the space group: C2/c (15).

abc: 5.5262 8.4024 8.4024
angles: 115.50 99.90 99.90
Fractional positions:
Na 0.9263 0.0492 0.6930
Na 0.0737 0.9508 0.3070
Na 0.1618 0.3855 0.2493
Au 0.2500 0.9989 0.0011
Na 0.4263 0.6930 0.0492
Na 0.5737 0.3070 0.9508
Na 0.8382 0.6145 0.7507
Na 0.6618 0.2493 0.3855
Sb 0.2500 0.3586 0.6414
Au 0.7500 0.0011 0.9989
Sb 0.7500 0.6414 0.3586
Na 0.3382 0.7507 0.6145

9.
Material: NaSbAu4
Method: DFT, PBE
State: optimized geometry

## Properties
Its excess energy over the best structure of this formula in the dataset is 0.000 eV/atom. As for the formation energy from raw total energies: -0.148 eV/atom. As for the space group: F-43m (216).

abc: 5.6276 5.6276 5.6276
angles: 60.00 60.00 60.00
Fractional positions:
Sb 0.2500 0.2500 0.2500
Au 0.6253 0.1241 0.6253
Na 0.0000 0.0000 0.0000
Au 0.6253 0.6253 0.6253
Au 0.1241 0.6253 0.6253
Au 0.6253 0.6253 0.1241

10.
Material: Na2SbAu2
Method: DFT, PBE
State: optimized geometry

## Properties
Its excess energy over the best structure of this formula in the dataset is 0.272 eV/atom. As for the formation energy from raw total energies: -0.095 eV/atom. As for the space group: P4/mbm (127).

abc: 8.8013 8.8013 2.9424
angles: 90.00 90.00 90.00
Fractional positions:
Na 0.6372 0.1372 0.0000
Na 0.3628 0.8628 0.0000
Au 0.6582 0.8418 0.5000
Na 0.8628 0.6372 0.0000
Sb 0.0000 0.0000 0.0000
Sb 0.5000 0.5000 0.0000
Au 0.3418 0.1582 0.5000
Au 0.8418 0.3418 0.5000
Au 0.1582 0.6582 0.5000
Na 0.1372 0.3628 0.0000

11.
Material: NaSb3Au
Method: DFT, PBE
State: optimized geometry

## Properties
Its excess energy over the best structure of this formula in the dataset is 1.042 eV/atom. As for the formation energy from raw total energies: 0.924 eV/atom. As for the space group: Pm-3m (221).

abc: 5.3227 5.3227 5.3227
angles: 90.00 90.00 90.00
Fractional positions:
Au 0.5000 0.5000 0.5000
Sb 0.0000 0.5000 0.0000
Na 0.0000 0.0000 0.0000
Sb 0.5000 0.0000 0.0000
Sb 0.0000 0.0000 0.5000

12.
Material: Na2SbAu2
Method: DFT, PBE
State: optimized geometry

## Properties
Its excess energy over the best structure of this formula in the dataset is 0.383 eV/atom. As for the formation energy from raw total energies: 0.016 eV/atom. As for the space group: I4/mmm (139).

abc: 4.1193 4.1193 7.4969
angles: 74.05 74.05 90.00
Fractional positions:
Na 0.2500 0.7500 0.5000
Au 0.4016 0.4016 0.1968
Na 0.7500 0.2500 0.5000
Sb 0.0000 0.0000 0.0000
Au 0.5984 0.5984 0.8032